VASP calculation (GGA-PBE) on crystalline Ta2CoNi at its relaxed geometry.

a b c (Å): 2.8029 2.8029 26.4072
angles (deg): 90.00 90.00 120.00
Closest atoms and distances in Å follow each position.
Sites, in units of the cell vectors:
Ta: 0.0000 0.0000 0.0000  3 Co 2.63, 6 Ta 2.80
Ta: 0.0000 0.0000 0.2336  3 Ni 2.66, 6 Ta 2.80
Ta: 0.3333 0.6667 0.6667  3 Co 2.63, 6 Ta 2.80
Ta: 0.3333 0.6667 0.9003  3 Ni 2.66, 6 Ta 2.80
Ta: 0.6667 0.3333 0.3333  3 Co 2.63, 6 Ta 2.80
Ta: 0.6667 0.3333 0.5670  3 Ni 2.66, 6 Ta 2.80
Co: 0.0000 0.0000 0.7452  3 Ni 2.56, 3 Ta 2.63, 6 Co 2.80
Co: 0.3333 0.6667 0.4118  3 Ni 2.56, 3 Ta 2.63, 6 Co 2.80
Co: 0.6667 0.3333 0.0785  3 Ni 2.56, 3 Ta 2.63, 6 Co 2.80
Ni: 0.0000 0.0000 0.4868  3 Co 2.56, 3 Ta 2.66, 6 Ni 2.80
Ni: 0.3333 0.6667 0.1535  3 Co 2.56, 3 Ta 2.66, 6 Ni 2.80
Ni: 0.6667 0.3333 0.8202  3 Co 2.56, 3 Ta 2.66, 6 Ni 2.80

Computed properties:
ΔE_f: 0.896 eV/f.u.

***

VASP calculation (GGA-PBE) on crystalline CdPt6Rh5 at its relaxed geometry.

a b c (Å): 6.2266 6.2266 7.9186
angles (deg): 90.00 90.00 143.16
Closest atoms and distances in Å follow each position.
Sites, in units of the cell vectors:
Cd: 0.0000 0.0000 0.0000  4 Rh 2.82, 8 Pt 2.82-2.84
Pt: 0.1684 0.8316 0.2527  4 Pt 2.75-2.80, 7 Rh 2.76-2.81, 1 Cd 2.82
Pt: 0.1684 0.8316 0.7473  4 Pt 2.75-2.80, 7 Rh 2.76-2.81, 1 Cd 2.82
Pt: 0.5000 0.5000 0.2595  6 Rh 2.73-2.88, 4 Pt 2.80, 2 Cd 2.84
Pt: 0.5000 0.5000 0.7405  6 Rh 2.73-2.88, 4 Pt 2.80, 2 Cd 2.84
Pt: 0.8316 0.1684 0.2527  4 Pt 2.75-2.80, 7 Rh 2.76-2.81, 1 Cd 2.82
Pt: 0.8316 0.1684 0.7473  4 Pt 2.75-2.80, 7 Rh 2.76-2.81, 1 Cd 2.82
Rh: 0.0000 0.0000 0.5000  8 Pt 2.74-2.79, 4 Rh 2.78
Rh: 0.3291 0.6709 0.0000  2 Rh 2.71, 8 Pt 2.76-2.88, 2 Cd 2.82
Rh: 0.3343 0.6657 0.5000  8 Pt 2.73-2.78, 4 Rh 2.78-2.80
Rh: 0.6657 0.3343 0.5000  8 Pt 2.73-2.78, 4 Rh 2.78-2.80
Rh: 0.6709 0.3291 0.0000  2 Rh 2.71, 8 Pt 2.76-2.88, 2 Cd 2.82

Computed properties:
ΔE_f: -0.425 eV/f.u.

***

VASP calculation (GGA-PBE) on crystalline CaAc2Pr4 at its relaxed geometry.

a b c (Å): 11.9494 5.4126 8.6274
angles (deg): 90.00 98.66 90.00
Closest atoms and distances in Å follow each position.
Sites, in units of the cell vectors:
Ca: 0.0000 0.0000 0.0000  6 Ac 3.82-3.83, 6 Pr 3.86-3.95
Ca: 0.5000 0.5000 0.0000  6 Ac 3.82-3.83, 6 Pr 3.86-3.95
Ac: 0.2150 0.5000 0.1520  7 Pr 3.73-4.02, 3 Ca 3.82-3.83, 2 Ac 3.95
Ac: 0.2850 0.0000 0.8480  7 Pr 3.73-4.02, 3 Ca 3.82-3.83, 2 Ac 3.95
Ac: 0.7150 0.0000 0.1520  7 Pr 3.73-4.02, 3 Ca 3.82-3.83, 2 Ac 3.95
Ac: 0.7850 0.5000 0.8480  7 Pr 3.73-4.02, 3 Ca 3.82-3.83, 2 Ac 3.95
Pr: 0.0743 0.5000 0.6984  6 Pr 3.61-3.80, 4 Ac 3.79-4.02, 2 Ca 3.95
Pr: 0.1424 0.0000 0.4324  8 Pr 3.72-3.80, 3 Ac 3.73-3.82, 1 Ca 3.86
Pr: 0.3576 0.5000 0.5676  8 Pr 3.72-3.80, 3 Ac 3.73-3.82, 1 Ca 3.86
Pr: 0.4257 0.0000 0.3016  6 Pr 3.61-3.80, 4 Ac 3.79-4.02, 2 Ca 3.95
Pr: 0.5743 0.0000 0.6984  6 Pr 3.61-3.80, 4 Ac 3.79-4.02, 2 Ca 3.95
Pr: 0.6424 0.5000 0.4324  8 Pr 3.72-3.80, 3 Ac 3.73-3.82, 1 Ca 3.86
Pr: 0.8576 0.0000 0.5676  8 Pr 3.72-3.80, 3 Ac 3.73-3.82, 1 Ca 3.86
Pr: 0.9257 0.5000 0.3016  6 Pr 3.61-3.80, 4 Ac 3.79-4.02, 2 Ca 3.95

Computed properties:
ΔE_f: 0.247 eV/f.u.

***

VASP calculation (GGA-PBE) on crystalline Ac2TbTh at its relaxed geometry.

a b c (Å): 5.3317 5.3317 5.3344
angles (deg): 90.00 90.00 90.00
Closest atoms and distances in Å follow each position.
Sites, in units of the cell vectors:
Ac: 0.0000 0.5000 0.0000  4 Ac 3.77, 4 Tb 3.77, 4 Th 3.77
Ac: 0.5000 0.0000 0.0000  4 Ac 3.77, 4 Tb 3.77, 4 Th 3.77
Tb: 0.0000 0.0000 0.5000  4 Th 3.77, 8 Ac 3.77
Th: 0.5000 0.5000 0.5000  4 Tb 3.77, 8 Ac 3.77

Computed properties:
ΔE_f: 0.499 eV/f.u.

***

VASP calculation (GGA-PBE) on crystalline ZrBiCl2 at its relaxed geometry.

a b c (Å): 4.5440 4.5440 18.8862
angles (deg): 90.00 90.00 90.00
Closest atoms and distances in Å follow each position.
Sites, in units of the cell vectors:
Zr: 0.0000 0.0000 0.0000  4 Cl 2.80
Zr: 0.0000 0.5000 0.2500  4 Cl 2.80
Zr: 0.5000 0.0000 0.7500  4 Cl 2.80
Zr: 0.5000 0.5000 0.5000  4 Cl 2.80
Bi: 0.0000 0.0000 0.5000  4 Cl 2.92, 4 Zr 3.21
Bi: 0.0000 0.5000 0.7500  4 Cl 2.92, 4 Zr 3.21
Bi: 0.5000 0.0000 0.2500  4 Cl 2.92, 4 Zr 3.21
Bi: 0.5000 0.5000 0.0000  4 Cl 2.92, 4 Zr 3.21
Cl: 0.2156 0.2500 0.1250  2 Zr 2.80, 2 Bi 2.92, 2 Cl 3.00
Cl: 0.2500 0.7156 0.3750  2 Zr 2.80, 2 Bi 2.92, 2 Cl 3.00
Cl: 0.2500 0.7844 0.8750  2 Zr 2.80, 2 Bi 2.92, 2 Cl 3.00
Cl: 0.2844 0.2500 0.6250  2 Zr 2.80, 2 Bi 2.92, 2 Cl 3.00
Cl: 0.7156 0.7500 0.6250  2 Zr 2.80, 2 Bi 2.92, 2 Cl 3.00
Cl: 0.7500 0.2156 0.8750  2 Zr 2.80, 2 Bi 2.92, 2 Cl 3.00
Cl: 0.7500 0.2844 0.3750  2 Zr 2.80, 2 Bi 2.92, 2 Cl 3.00
Cl: 0.7844 0.7500 0.1250  2 Zr 2.80, 2 Bi 2.92, 2 Cl 3.00

Computed properties:
energy relative to the elements, uncorrected: -525 meV/atom

***

VASP calculation (GGA-PBE) on crystalline Gd2PuZr at its relaxed geometry.

a b c (Å): 3.4010 3.4010 9.8591
angles (deg): 90.00 90.00 90.00
Closest atoms and distances in Å follow each position.
Sites, in units of the cell vectors:
Gd: 0.0000 0.0000 0.2350  4 Zr 3.34, 4 Gd 3.40, 4 Pu 3.55
Gd: 0.0000 0.0000 0.7650  4 Zr 3.34, 4 Gd 3.40, 4 Pu 3.55
Pu: 0.5000 0.5000 0.5000  4 Pu 3.40, 8 Gd 3.55
Zr: 0.5000 0.5000 0.0000  8 Gd 3.34, 4 Zr 3.40

Computed properties:
ΔE_f: 0.614 eV/f.u.

***

VASP calculation (GGA-PBE) on crystalline Ca2CrHg at its relaxed geometry.

a b c (Å): 11.7073 3.6091 5.4966
angles (deg): 90.00 109.35 90.00
Closest atoms and distances in Å follow each position.
Sites, in units of the cell vectors:
Ca: 0.0000 0.0000 0.0000  3 Cr 3.31-3.42, 4 Hg 3.32-3.33, 4 Ca 3.54-3.61
Ca: 0.2062 0.0000 0.6521  3 Hg 3.30-3.39, 4 Cr 3.31-3.38, 4 Ca 3.54-3.61
Ca: 0.5000 0.5000 0.0000  3 Cr 3.31-3.42, 4 Hg 3.32-3.33, 4 Ca 3.54-3.61
Ca: 0.7062 0.5000 0.6521  3 Hg 3.30-3.39, 4 Cr 3.31-3.38, 4 Ca 3.54-3.61
Cr: 0.2627 0.5000 0.2004  2 Hg 2.89
Cr: 0.7627 0.0000 0.2004  2 Hg 2.89
Hg: 0.4558 0.0000 0.4683  2 Cr 2.89
Hg: 0.9558 0.5000 0.4683  2 Cr 2.89

Computed properties:
ΔE_f: 0.440 eV/f.u.

***

VASP calculation (GGA-PBE) on crystalline In2Co2Ag at its relaxed geometry.

a b c (Å): 7.2158 7.2158 3.1912
angles (deg): 90.00 90.00 90.00
Closest atoms and distances in Å follow each position.
Sites, in units of the cell vectors:
In: 0.1778 0.3222 0.0000  6 Co 2.64-2.69
In: 0.3222 0.8222 0.0000  6 Co 2.64-2.69
In: 0.6778 0.1778 0.0000  6 Co 2.64-2.69
In: 0.8222 0.6778 0.0000  6 Co 2.64-2.69
Co: 0.1166 0.6166 0.5000  1 Co 2.38, 2 In 2.64
Co: 0.3834 0.1166 0.5000  1 Co 2.38, 2 In 2.64
Co: 0.6166 0.8834 0.5000  1 Co 2.38, 2 In 2.64
Co: 0.8834 0.3834 0.5000  1 Co 2.38, 2 In 2.64
Ag: 0.0000 0.0000 0.5000  4 Co 2.89, 8 In 3.10, 2 Ag 3.19
Ag: 0.5000 0.5000 0.5000  4 Co 2.89, 8 In 3.10, 2 Ag 3.19

Computed properties:
ΔE_f: 0.888 eV/f.u.

***

VASP calculation (GGA-PBE) on crystalline La2CoCuBi at its relaxed geometry.

a b c (Å): 5.3059 5.3059 4.6252
angles (deg): 90.00 90.00 90.00
Closest atoms and distances in Å follow each position.
Sites, in units of the cell vectors:
La: 0.0000 0.5000 0.0000  2 Co 2.65
La: 0.5000 0.0000 0.0000  2 Co 2.65
Co: 0.0000 0.0000 0.0000  2 Cu 2.31
Cu: 0.0000 0.0000 0.5000  2 Co 2.31
Bi: 0.5000 0.5000 0.5000  8 La 3.52, 4 Cu 3.75

Computed properties:
ΔE_f: -1.591 eV/f.u.

***

VASP calculation (GGA-PBE) on crystalline Ca2NiCl at its relaxed geometry.

a b c (Å): 7.2649 7.2649 8.2539
angles (deg): 90.00 90.00 90.00
Closest atoms and distances in Å follow each position.
Sites, in units of the cell vectors:
Ca: 0.2393 0.2500 0.1250  2 Ni 2.72, 2 Cl 2.82
Ca: 0.2500 0.7393 0.3750  2 Ni 2.72, 2 Cl 2.82
Ca: 0.2500 0.7607 0.8750  2 Ni 2.72, 2 Cl 2.82
Ca: 0.2607 0.2500 0.6250  2 Ni 2.72, 2 Cl 2.82
Ca: 0.7393 0.7500 0.6250  2 Ni 2.72, 2 Cl 2.82
Ca: 0.7500 0.2393 0.8750  2 Ni 2.72, 2 Cl 2.82
Ca: 0.7500 0.2607 0.3750  2 Ni 2.72, 2 Cl 2.82
Ca: 0.7607 0.7500 0.1250  2 Ni 2.72, 2 Cl 2.82
Ni: 0.0000 0.0000 0.0000  4 Ca 2.72
Ni: 0.0000 0.5000 0.2500  4 Ca 2.72
Ni: 0.5000 0.0000 0.7500  4 Ca 2.72
Ni: 0.5000 0.5000 0.5000  4 Ca 2.72
Cl: 0.0000 0.0000 0.5000  4 Ca 2.82
Cl: 0.0000 0.5000 0.7500  4 Ca 2.82
Cl: 0.5000 0.0000 0.2500  4 Ca 2.82
Cl: 0.5000 0.5000 0.0000  4 Ca 2.82

Computed properties:
energy relative to the elements, uncorrected: -595 meV/atom

***

VASP calculation (GGA-PBE) on crystalline NaZn2Pd3 at its relaxed geometry.

a b c (Å): 5.6034 5.6034 4.0065
angles (deg): 90.00 90.00 120.00
Closest atoms and distances in Å follow each position.
Sites, in units of the cell vectors:
Na: 0.0000 0.0000 0.0000  6 Zn 3.24, 12 Pd 3.44
Zn: 0.3333 0.6667 0.0000  6 Pd 2.57
Zn: 0.6667 0.3333 0.0000  6 Pd 2.57
Pd: 0.0000 0.5000 0.5000  4 Zn 2.57, 4 Pd 2.80
Pd: 0.5000 0.0000 0.5000  4 Zn 2.57, 4 Pd 2.80
Pd: 0.5000 0.5000 0.5000  4 Zn 2.57, 4 Pd 2.80

Computed properties:
ΔE_f: -2.164 eV/f.u.

***

VASP calculation (GGA-PBE) on crystalline Tm6Tl2Zn at its relaxed geometry.

a b c (Å): 8.7254 8.7254 8.7254
angles (deg): 146.43 131.77 60.04
Closest atoms and distances in Å follow each position.
Sites, in units of the cell vectors:
Tm: 0.0821 0.3395 0.7426  1 Zn 2.98, 3 Tl 3.12-3.13
Tm: 0.2346 0.0000 0.2346  2 Zn 3.02, 2 Tl 3.16, 1 Tm 3.34
Tm: 0.4031 0.6605 0.7426  1 Zn 2.98, 3 Tl 3.12-3.13
Tm: 0.5969 0.3395 0.2574  1 Zn 2.98, 3 Tl 3.12-3.13
Tm: 0.7654 0.0000 0.7654  2 Zn 3.02, 2 Tl 3.16, 1 Tm 3.34
Tm: 0.9179 0.6605 0.2574  1 Zn 2.98, 3 Tl 3.12-3.13
Tl: 0.3329 0.8329 0.5000  8 Tm 3.12-3.16
Tl: 0.6671 0.1671 0.5000  8 Tm 3.12-3.16
Zn: 0.0000 0.5000 0.5000  8 Tm 2.98-3.02

Computed properties:
ΔE_f: -0.016 eV/f.u.

***

VASP calculation (GGA-PBE) on crystalline PRhPb2 at its relaxed geometry.

a b c (Å): 3.4374 3.4374 27.4145
angles (deg): 90.00 90.00 120.00
Closest atoms and distances in Å follow each position.
Sites, in units of the cell vectors:
P: 0.0000 0.0000 0.0000  3 Rh 2.27
P: 0.3333 0.6667 0.6667  3 Rh 2.27
P: 0.6667 0.3333 0.3333  3 Rh 2.27
Rh: 0.0000 0.0000 0.2934  3 P 2.27
Rh: 0.3333 0.6667 0.9600  3 P 2.27
Rh: 0.6667 0.3333 0.6267  3 P 2.27
Pb: 0.0000 0.0000 0.5405  3 Rh 3.09, 6 Pb 3.44
Pb: 0.0000 0.0000 0.7625  3 P 3.29, 9 Pb 3.44-3.64
Pb: 0.3333 0.6667 0.2072  3 Rh 3.09, 6 Pb 3.44
Pb: 0.3333 0.6667 0.4292  3 P 3.29, 9 Pb 3.44-3.64
Pb: 0.6667 0.3333 0.0959  3 P 3.29, 9 Pb 3.44-3.64
Pb: 0.6667 0.3333 0.8738  3 Rh 3.09, 6 Pb 3.44

Computed properties:
ΔE_f: -0.653 eV/f.u.